1.
Material: Er8CoBi2
Method: DFT, PBE
State: optimized geometry

As for the size of the total moment: 0.0 μB per cell. The space group is C2/m (12).

Unit cell a=9.797 b=9.797 c=7.330 alpha=96.17 beta=96.17 gamma=26.56
Fractional positions:
1 Er 0.001 0.001 0.220
2 Er 0.213 0.213 0.347
3 Er 0.370 0.370 0.955
4 Er 0.407 0.407 0.482
5 Er 0.593 0.593 0.518
6 Er 0.630 0.630 0.045
7 Er 0.787 0.787 0.653
8 Er 0.999 0.999 0.780
9 Co 0.500 0.500 0.000
10 Bi 0.183 0.183 0.783
11 Bi 0.817 0.817 0.217

2.
Material: TcAgRh
Method: DFT, PBE
State: optimized geometry

As for the size of the total moment: 0.0 μB per cell. Its distance to the lowest polymorph of the same formula is 117.3 meV/atom. The space group is Imm2 (44).

Unit cell a=2.770 b=3.852 c=8.649 alpha=90.00 beta=90.00 gamma=90.00
Fractional positions:
1 Tc 0.000 0.000 0.000
2 Tc 0.500 0.500 0.500
3 Ag 0.000 0.000 0.681
4 Ag 0.500 0.500 0.181
5 Rh 0.000 0.000 0.362
6 Rh 0.500 0.500 0.862

The energy relative to the elements results, record by record, are as follows: -3.328, 0.897 eV per formula unit.